1.
Below is MnSi2Sb after structural relaxation, with properties calculated at the GGA-PBEsol level.

a b c (Å): 2.972 3.015 7.494
angles (deg): 90.00 101.32 90.00
Fractional positions:
Mn 0.029 0.000 0.435
Sb 0.654 0.500 0.684
Si 0.859 0.000 0.092
Si 0.457 0.500 0.289

Properties
SG: Pm (6)
ΔE_f (raw) (eV per atom): 0.114


2.
Below is MnCoAu2 after structural relaxation, with properties calculated at the GGA-PBEsol level.

a b c (Å): 3.863 3.863 4.730
angles (deg): 114.10 114.10 90.00
Fractional positions:
Au 0.750 0.250 0.500
Au 0.250 0.750 0.500
Co 0.500 0.500 0.000
Mn 0.000 0.000 0.000

Properties
SG: I4/mmm (139)
Calculated formation energy (kJ per mole of atoms): 14.6


3.
Below is ZrClF2 after structural relaxation, with properties calculated at the GGA-PBEsol level.

a b c (Å): 4.183 4.183 7.681
angles (deg): 105.80 105.80 90.00
Fractional positions:
F 0.213 0.875 0.250
F 0.037 0.375 0.250
F 0.125 0.963 0.750
F 0.625 0.787 0.750
Zr 0.250 0.750 0.500
Zr 0.000 0.000 0.000
Cl 0.750 0.250 0.500
Cl 0.500 0.500 0.000

Properties
SG: I-42d (122)
ΔE_f (raw) (eV per atom): -2.404


Values for ρ, g/cm3, ordered as above
5.87 14.63 4.41